Density functional theory data (PBE) for crystalline ZnCd2Hg at its relaxed geometry.

a b c (Å): 4.2956 4.2956 20.0036
angles (deg): 90.00 90.00 90.00
Last column: nearest neighbours and their distance in Å.
Space group I-42d (No. 122)
Symmetry-distinct sites (fractional):
Zn: 0.0000 0.0000 0.0000 x4  4 Cd 2.91, 4 Hg 3.04
Cd: 0.2380 0.2500 0.1250 x8  2 Zn 2.91, 2 Hg 2.94, 4 Cd 2.97-3.11
Hg: 0.0000 0.0000 0.5000 x4  4 Cd 2.94, 4 Zn 3.04

energy above the lowest structure with this stoichiometry: 41 meV/atom
calculated volume: 369.1 Å³/cell
DFT formation energy: 0.09 eV per atom